Record 1
Density functional theory data (PBE-GGA) for a geometry-optimized Cs3TaTe4 structure.

Cell lengths 8.353, 8.353, 8.353 Å; angles 121.96, 91.94, 115.90 degrees
Element x y z (fractional)
Cs: 0.000 0.000 0.000
Cs: 0.360 0.603 0.757
Cs: 0.846 0.603 0.243
Ta: 0.523 0.023 0.500
Te: 0.350 0.109 0.759
Te: 0.350 0.591 0.241
Te: 0.499 0.188 0.311
Te: 0.877 0.188 0.689

Results
* energy relative to the elements, uncorrected: -780 meV per atom
* final energy: -4.15 eV per atom
* crystal system: orthorhombic

=====

Record 2
Density functional theory data (PBE-GGA) for a geometry-optimized Ho3ThSb2 structure.

Cell lengths 9.520, 9.520, 9.829 Å; angles 113.10, 113.10, 25.71 degrees
Element x y z (fractional)
Ho: 0.057 0.057 0.169
Ho: 0.314 0.314 0.609
Ho: 0.356 0.356 0.029
Ho: 0.644 0.644 0.971
Ho: 0.686 0.686 0.391
Ho: 0.943 0.943 0.831
Th: 0.112 0.112 0.617
Th: 0.888 0.888 0.383
Sb: 0.246 0.246 0.216
Sb: 0.488 0.488 0.656
Sb: 0.512 0.512 0.344
Sb: 0.754 0.754 0.784

Results
* energy relative to the elements, uncorrected: -612 meV per atom
* final energy: -5.51 eV per atom
* crystal system: monoclinic

=====

Record 3
Density functional theory data (PBE-GGA) for a geometry-optimized SrTlSn3 structure.

Cell lengths 15.617, 15.617, 4.542 Å; angles 90.00, 90.00, 161.48 degrees
Element x y z (fractional)
Sr: 0.204 0.796 0.750
Sr: 0.796 0.204 0.250
Tl: 0.075 0.925 0.250
Tl: 0.925 0.075 0.750
Sn: 0.315 0.685 0.750
Sn: 0.376 0.624 0.250
Sn: 0.472 0.528 0.250
Sn: 0.528 0.472 0.750
Sn: 0.624 0.376 0.750
Sn: 0.685 0.315 0.250

Results
* final energy: -3.36 eV per atom
* crystal system: orthorhombic
* energy relative to the lowest polymorph listed for this composition: 0.00 eV per formula unit

=====

Record 4
Density functional theory data (PBE-GGA) for a geometry-optimized Ca2GePd2 structure.

Cell lengths 5.487, 5.487, 5.487 Å; angles 118.15, 118.15, 93.24 degrees
Element x y z (fractional)
Ca: 0.250 0.750 0.500
Ca: 0.750 0.250 0.500
Ge: 0.000 0.000 0.000
Pd: 0.324 0.324 0.000
Pd: 0.676 0.676 0.000

Results
* final energy: -4.29 eV per atom
* crystal system: tetragonal

=====

Record 5
Density functional theory data (PBE-GGA) for a geometry-optimized BaCe2SnN4 structure.

Cell lengths 6.542, 6.542, 12.267 Å; angles 90.00, 90.00, 146.62 degrees
Element x y z (fractional)
Ba: 0.097 0.903 0.750
Ba: 0.903 0.097 0.250
Ce: 0.372 0.628 0.540
Ce: 0.372 0.628 0.960
Ce: 0.628 0.372 0.040
Ce: 0.628 0.372 0.460
Sn: 0.167 0.833 0.250
Sn: 0.833 0.167 0.750
N: 0.000 0.000 0.000
N: 0.000 0.000 0.500
N: 0.263 0.737 0.110
N: 0.263 0.737 0.390
N: 0.417 0.583 0.750
N: 0.583 0.417 0.250
N: 0.737 0.263 0.610
N: 0.737 0.263 0.890

Results
* energy relative to the elements, uncorrected: -786 meV per atom
* final energy: -7.17 eV per atom
* crystal system: orthorhombic

=====

Record 6
Density functional theory data (PBE-GGA) for a geometry-optimized LaMg2Ga structure.

Cell lengths 6.061, 6.061, 7.562 Å; angles 90.00, 90.00, 134.47 degrees
Element x y z (fractional)
La: 0.078 0.922 0.750
La: 0.922 0.078 0.250
Mg: 0.363 0.637 0.555
Mg: 0.363 0.637 0.945
Mg: 0.637 0.363 0.055
Mg: 0.637 0.363 0.445
Ga: 0.210 0.790 0.250
Ga: 0.790 0.210 0.750

Results
* final energy: -3.12 eV per atom
* crystal system: orthorhombic
* energy relative to the lowest polymorph listed for this composition: 0.00 eV per formula unit

=====

Record 7
Density functional theory data (PBE-GGA) for a geometry-optimized AcNiPb2 structure.

Cell lengths 6.613, 6.613, 6.613 Å; angles 40.62, 40.62, 40.62 degrees
Element x y z (fractional)
Ac: 0.000 0.000 0.000
Ni: 0.500 0.500 0.500
Pb: 0.218 0.218 0.218
Pb: 0.782 0.782 0.782

Results
* final energy: -4.53 eV per atom
* crystal system: trigonal

=====

Record 8
Density functional theory data (PBE-GGA) for a geometry-optimized Re2MoRu2 structure.

Cell lengths 7.467, 7.467, 2.757 Å; angles 90.00, 90.00, 90.00 degrees
Element x y z (fractional)
Re: 0.124 0.376 0.000
Re: 0.376 0.876 0.000
Re: 0.624 0.124 0.000
Re: 0.876 0.624 0.000
Mo: 0.000 0.000 0.000
Mo: 0.500 0.500 0.000
Ru: 0.171 0.671 0.500
Ru: 0.329 0.171 0.500
Ru: 0.671 0.829 0.500
Ru: 0.829 0.329 0.500

Results
* final energy: -10.66 eV per atom
* crystal system: tetragonal
* energy relative to the lowest polymorph listed for this composition: 0.00 eV per formula unit

=====

Look up the final energy of the second one.
-5.51 eV per atom